# 1
The following is a DFT calculation (PBE) of an optimized crystal structure of ErBe2AlAu4.

Computed properties:
Uncorrected energy ... -3.952 eV per atom
Size of the total moment ... 0.00 μB per formula unit
Calculated density ... 12.2 Mg/m³
SG ... R-3m

abc: 4.2173 4.2173 9.1924
angles: 76.74 76.74 60.00
Atoms (fractional coordinates):
Er (0.0000, 0.0000, 0.0000)
Be (0.2467, 0.2467, 0.2600)
Be (0.7533, 0.7533, 0.7400)
Au (0.1273, 0.1273, 0.6181)
Au (0.3985, 0.3985, 0.8045)
Au (0.6015, 0.6015, 0.1955)
Au (0.8727, 0.8727, 0.3819)
Al (0.5000, 0.5000, 0.5000)

# 2
The following is a DFT calculation (PBE) of an optimized crystal structure of ErBeAl2Au4.

Computed properties:
Uncorrected energy ... -4.087 eV per atom
Size of the total moment ... 0.00 μB per formula unit
Calculated density ... 11.9 Mg/m³
SG ... R-3m

abc: 4.3551 4.3551 8.9910
angles: 75.98 75.98 60.00
Atoms (fractional coordinates):
Au (0.3985, 0.3985, 0.8045)
Au (0.6015, 0.6015, 0.1955)
Au (0.8627, 0.8627, 0.4120)
Au (0.1373, 0.1373, 0.5880)
Be (0.5000, 0.5000, 0.5000)
Al (0.7567, 0.7567, 0.7298)
Al (0.2433, 0.2433, 0.2702)
Er (0.0000, 0.0000, 0.0000)

# 3
The following is a DFT calculation (PBE) of an optimized crystal structure of ErBeAl2Au5.

Computed properties:
Uncorrected energy ... -3.915 eV per atom
Size of the total moment ... 0.00 μB per formula unit
Calculated density ... 11.7 Mg/m³
SG ... Immm

abc: 4.4255 5.9234 7.5534
angles: 113.09 107.03 90.00
Atoms (fractional coordinates):
Au (0.6425, 0.4015, 0.2850)
Au (0.3575, 0.1165, 0.7150)
Au (0.3575, 0.5985, 0.7150)
Au (0.0000, 0.0000, 0.0000)
Au (0.6425, 0.8835, 0.2850)
Be (0.5000, 0.0000, 0.0000)
Al (0.1955, 0.1955, 0.3910)
Al (0.8045, 0.8045, 0.6090)
Er (0.0000, 0.5000, 0.0000)

# 4
The following is a DFT calculation (PBE) of an optimized crystal structure of BeAl2GaAu5.

Computed properties:
Uncorrected energy ... -3.497 eV per atom
Size of the total moment ... 0.00 μB per formula unit
Calculated density ... 10.9 Mg/m³
SG ... Immm

abc: 4.4815 5.5519 7.7310
angles: 111.04 106.85 90.00
Atoms (fractional coordinates):
Ga (0.0000, 0.5000, 0.0000)
Al (0.8034, 0.8034, 0.6067)
Al (0.1966, 0.1966, 0.3933)
Au (0.6433, 0.3955, 0.2867)
Au (0.3567, 0.1089, 0.7133)
Au (0.3567, 0.6045, 0.7133)
Au (0.0000, 0.0000, 0.0000)
Au (0.6433, 0.8911, 0.2867)
Be (0.5000, 0.0000, 0.0000)

# 5
The following is a DFT calculation (PBE) of an optimized crystal structure of BeAl2GeAu5.

Computed properties:
Uncorrected energy ... -3.624 eV per atom
Size of the total moment ... 0.00 μB per formula unit
Calculated density ... 11.0 Mg/m³
SG ... Immm

abc: 4.4031 5.7076 7.6395
angles: 111.94 106.75 90.00
Atoms (fractional coordinates):
Al (0.8032, 0.8032, 0.6065)
Al (0.1968, 0.1968, 0.3935)
Au (0.6406, 0.3961, 0.2811)
Au (0.6406, 0.8850, 0.2811)
Au (0.3594, 0.6039, 0.7189)
Au (0.0000, 0.0000, 0.0000)
Au (0.3594, 0.1150, 0.7189)
Ge (0.0000, 0.5000, 0.0000)
Be (0.5000, 0.0000, 0.0000)

# 6
The following is a DFT calculation (PBE) of an optimized crystal structure of HoBeAl2Au4.

Computed properties:
Uncorrected energy ... -4.092 eV per atom
Size of the total moment ... 0.00 μB per formula unit
Calculated density ... 11.8 Mg/m³
SG ... R-3m

abc: 4.3569 4.3569 9.0175
angles: 76.02 76.02 60.00
Atoms (fractional coordinates):
Au (0.8625, 0.8625, 0.4124)
Au (0.6010, 0.6010, 0.1970)
Au (0.3990, 0.3990, 0.8030)
Au (0.1375, 0.1375, 0.5876)
Ho (0.0000, 0.0000, 0.0000)
Al (0.7570, 0.7570, 0.7291)
Al (0.2430, 0.2430, 0.2709)
Be (0.5000, 0.5000, 0.5000)

# 7
The following is a DFT calculation (PBE) of an optimized crystal structure of Ho2Be3AlAu4.

Computed properties:
Uncorrected energy ... -4.236 eV per atom
Size of the total moment ... 0.00 μB per formula unit
Calculated density ... 11.3 Mg/m³
SG ... P-4m2

abc: 4.2703 4.2703 9.4812
angles: 90.00 90.00 90.00
Atoms (fractional coordinates):
Au (0.5000, 0.0000, 0.6423)
Au (0.5000, 0.5000, 0.0000)
Au (0.0000, 0.0000, 0.0000)
Au (0.0000, 0.5000, 0.3577)
Be (0.5000, 0.0000, 0.8857)
Be (0.0000, 0.0000, 0.5000)
Be (0.0000, 0.5000, 0.1143)
Ho (0.0000, 0.5000, 0.7518)
Ho (0.5000, 0.0000, 0.2482)
Al (0.5000, 0.5000, 0.5000)

# 8
The following is a DFT calculation (PBE) of an optimized crystal structure of HoBe2AlAu4.

Computed properties:
Uncorrected energy ... -3.955 eV per atom
Size of the total moment ... 0.00 μB per formula unit
Calculated density ... 12.1 Mg/m³
SG ... R-3m

abc: 4.2196 4.2196 9.2211
angles: 76.77 76.77 60.00
Atoms (fractional coordinates):
Au (0.1275, 0.1275, 0.6174)
Au (0.8725, 0.8725, 0.3826)
Au (0.3990, 0.3990, 0.8031)
Au (0.6010, 0.6010, 0.1969)
Al (0.5000, 0.5000, 0.5000)
Ho (0.0000, 0.0000, 0.0000)
Be (0.2466, 0.2466, 0.2603)
Be (0.7534, 0.7534, 0.7397)

# 9
The following is a DFT calculation (PBE) of an optimized crystal structure of BeAl2InAu.

Computed properties:
Uncorrected energy ... -2.767 eV per atom
Size of the total moment ... 0.00 μB per formula unit
Calculated density ... 4.9 Mg/m³
SG ... P4/mmm

abc: 4.7954 5.5046 4.7954
angles: 90.00 90.00 90.00
Atoms (fractional coordinates):
Au (0.0000, 0.0000, 0.0000)
Al (0.0000, 0.0000, 0.5000)
Al (0.5000, 0.0000, 0.0000)
Be (0.5000, 0.5000, 0.5000)
In (0.0000, 0.5000, 0.0000)

# 10
The following is a DFT calculation (PBE) of an optimized crystal structure of BeAl2InAu5.

Computed properties:
Uncorrected energy ... -3.502 eV per atom
Size of the total moment ... 0.00 μB per formula unit
Calculated density ... 11.1 Mg/m³
SG ... Immm

abc: 4.4821 5.6338 7.7548
angles: 111.30 106.80 90.00
Atoms (fractional coordinates):
Au (0.3556, 0.6042, 0.7111)
Au (0.0000, 0.0000, 0.0000)
Au (0.6444, 0.8930, 0.2889)
Au (0.3556, 0.1070, 0.7111)
Au (0.6444, 0.3958, 0.2889)
Be (0.5000, 0.0000, 0.0000)
Al (0.8028, 0.8028, 0.6057)
Al (0.1972, 0.1972, 0.3943)
In (0.0000, 0.5000, 0.0000)

# 11
The following is a DFT calculation (PBE) of an optimized crystal structure of K2BeAlAu6.

Computed properties:
Uncorrected energy ... -3.232 eV per atom
Size of the total moment ... 0.00 μB per formula unit
Calculated density ... 9.4 Mg/m³
SG ... C2/m

abc: 6.7540 6.9868 6.7373
angles: 61.30 59.94 90.02
Atoms (fractional coordinates):
Be (0.0000, 0.0000, 0.0000)
K (0.2090, 0.6269, 0.5818)
K (0.7910, 0.3731, 0.4182)
Au (0.7588, 0.8431, 0.9149)
Au (0.2412, 0.1569, 0.0851)
Au (0.6737, 0.1569, 0.0852)
Au (0.3263, 0.8431, 0.9148)
Au (0.7586, 0.8440, 0.4828)
Au (0.2414, 0.1560, 0.5172)
Al (0.5000, 0.5000, 0.0000)

# 12
The following is a DFT calculation (PBE) of an optimized crystal structure of LaBeAl2Au4.

Computed properties:
Uncorrected energy ... -4.157 eV per atom
Size of the total moment ... 0.00 μB per formula unit
Calculated density ... 10.9 Mg/m³
SG ... R-3m

abc: 4.3911 4.3911 9.4066
angles: 76.50 76.50 60.00
Atoms (fractional coordinates):
Al (0.2396, 0.2396, 0.2812)
Al (0.7604, 0.7604, 0.7188)
Be (0.5000, 0.5000, 0.5000)
Au (0.5952, 0.5952, 0.2146)
Au (0.8609, 0.8609, 0.4174)
Au (0.4048, 0.4048, 0.7854)
Au (0.1391, 0.1391, 0.5826)
La (0.0000, 0.0000, 0.0000)

| no. | formation energy (meV/atom) |
| --- | --- |
| 1 | -343 |
| 2 | -477 |
| 3 | -341 |
| 4 | -94 |
| 5 | -45 |
| 6 | -480 |
| 7 | -517 |
| 8 | -345 |
| 9 | 679 |
| 10 | -131 |
| 11 | -299 |
| 12 | -501 |